{"formula": "TaRe3Bi", "functional": "PBE-GGA", "state": "optimized geometry", "e_form_ev_per_atom": 2.11, "relative_energy_mev_per_atom": 0.0, "lattice_angstrom": [[-3.099, 3.271, 1.792], [1.434, -1.106, 4.498], [3.443, 3.405, -0.260]], "species": ["Re", "Re", "Re", "Bi", "Ta"], "fractional_positions": [[0.000, 0.500, 0.000], [0.500, 0.000, 0.000], [0.000, 0.000, 0.500], [0.500, 0.500, 0.500], [0.000, 0.000, 0.000]]}

=====

{"formula": "Ta2ReBi", "functional": "PBE-GGA", "state": "optimized geometry", "e_form_ev_per_atom": 1.03, "lattice_angstrom": [[-3.462, 0.812, 2.056], [1.346, -2.255, 3.158], [3.110, 7.209, 6.493]], "species": ["Ta", "Re", "Bi", "Re", "Bi", "Ta", "Ta", "Ta"], "fractional_positions": [[0.128, 0.625, 0.250], [0.500, 0.500, 0.000], [0.750, 0.250, 0.500], [0.250, 0.750, 0.500], [0.000, 0.000, 0.000], [0.375, 0.378, 0.750], [0.875, 0.872, 0.750], [0.622, 0.125, 0.250]]}

=====

{"formula": "TaReBi2", "functional": "PBE-GGA", "state": "optimized geometry", "e_form_ev_per_atom": 0.95, "relative_energy_mev_per_atom": 0.0, "lattice_angstrom": [[0.000, 3.468, 3.468], [3.468, 0.000, 3.468], [3.468, 3.468, 0.000]], "species": ["Ta", "Bi", "Re", "Bi"], "fractional_positions": [[0.000, 0.000, 0.000], [0.750, 0.750, 0.750], [0.500, 0.500, 0.500], [0.250, 0.250, 0.250]]}

=====

{"formula": "TaRe3Bi", "functional": "PBE-GGA", "state": "optimized geometry", "e_form_ev_per_atom": 3.08, "relative_energy_mev_per_atom": 975.2, "lattice_angstrom": [[4.845, 0.000, 0.000], [0.000, 4.845, 0.000], [0.000, 0.000, 4.845]], "species": ["Ta", "Re", "Re", "Re", "Bi"], "fractional_positions": [[0.500, 0.500, 0.500], [0.000, 0.500, 0.000], [0.500, 0.000, 0.000], [0.000, 0.000, 0.500], [0.000, 0.000, 0.000]]}

=====

{"formula": "TaReBi2W", "functional": "PBE-GGA", "state": "optimized geometry", "e_form_ev_per_atom": 2.21, "lattice_angstrom": [[5.383, 0.000, 0.000], [0.000, 4.845, 0.000], [0.000, 0.000, 5.383]], "species": ["Ta", "Bi", "Bi", "W", "Re"], "fractional_positions": [[0.000, 0.000, 0.000], [0.500, 0.000, 0.000], [0.000, 0.000, 0.500], [0.500, 0.500, 0.500], [0.000, 0.500, 0.000]]}

=====

{"formula": "TaReBiW2", "functional": "PBE-GGA", "state": "optimized geometry", "e_form_ev_per_atom": 2.13, "lattice_angstrom": [[-3.485, 3.394, -0.131], [-1.333, -1.539, -4.419], [-3.124, -3.130, 2.032]], "species": ["W", "Ta", "W", "Re", "Bi"], "fractional_positions": [[0.500, 0.000, 0.000], [0.000, 0.000, 0.000], [0.000, 0.000, 0.500], [0.000, 0.500, 0.000], [0.500, 0.500, 0.500]]}

=====

{"formula": "TbReBi", "functional": "PBE-GGA", "state": "optimized geometry", "e_form_ev_per_atom": 0.01, "lattice_angstrom": [[-1.317, -2.552, -2.132], [-0.176, -2.236, 2.786], [-12.261, 4.175, 2.576]], "species": ["Re", "Tb", "Re", "Bi", "Bi", "Tb"], "fractional_positions": [[0.500, 0.500, 0.000], [0.500, 0.000, 0.805], [0.000, 0.000, 0.000], [0.500, 0.000, 0.364], [0.000, 0.500, 0.636], [0.000, 0.500, 0.195]]}

=====

{"formula": "ReTc2Bi4", "functional": "PBE-GGA", "state": "optimized geometry", "e_form_ev_per_atom": 1.12, "lattice_angstrom": [[5.425, 0.000, 0.000], [0.000, 5.425, 0.000], [2.713, 2.713, 6.645]], "species": ["Bi", "Bi", "Bi", "Tc", "Re", "Bi", "Tc"], "fractional_positions": [[0.208, 0.208, 0.584], [0.000, 0.500, 0.000], [0.792, 0.792, 0.416], [0.588, 0.588, 0.825], [0.000, 0.000, 0.000], [0.500, 0.000, 0.000], [0.412, 0.412, 0.175]]}

=====

{"formula": "ReTc2Bi", "functional": "PBE-GGA", "state": "optimized geometry", "e_form_ev_per_atom": 1.27, "lattice_angstrom": [[6.053, 0.000, 0.000], [0.000, 6.053, 0.000], [3.026, 3.026, 5.463]], "species": ["Tc", "Bi", "Tc", "Re", "Tc", "Bi", "Tc", "Re"], "fractional_positions": [[0.875, 0.834, 0.750], [0.750, 0.250, 0.500], [0.375, 0.416, 0.750], [0.500, 0.500, 0.000], [0.166, 0.625, 0.250], [0.000, 0.000, 0.000], [0.584, 0.125, 0.250], [0.250, 0.750, 0.500]]}

=====

{"formula": "ReTcBi3", "functional": "PBE-GGA", "state": "optimized geometry", "e_form_ev_per_atom": 1.51, "relative_energy_mev_per_atom": 0.0, "lattice_angstrom": [[-1.622, 4.524, 2.267], [-4.926, -1.955, 0.377], [1.155, -1.986, 4.791]], "species": ["Bi", "Bi", "Bi", "Re", "Tc"], "fractional_positions": [[0.500, 0.000, 0.000], [0.000, 0.500, 0.000], [0.000, 0.000, 0.500], [0.000, 0.000, 0.000], [0.500, 0.500, 0.500]]}

=====

{"formula": "Re2TcBi", "functional": "PBE-GGA", "state": "optimized geometry", "e_form_ev_per_atom": 1.61, "lattice_angstrom": [[5.895, 0.000, 0.000], [0.000, 5.895, 0.000], [2.948, 2.948, 5.876]], "species": ["Bi", "Tc", "Bi", "Re", "Tc", "Re", "Re", "Re"], "fractional_positions": [[0.000, 0.000, 0.000], [0.250, 0.750, 0.500], [0.750, 0.250, 0.500], [0.580, 0.125, 0.250], [0.500, 0.500, 0.000], [0.170, 0.625, 0.250], [0.375, 0.420, 0.750], [0.875, 0.830, 0.750]]}

=====

{"formula": "ReTc3Bi", "functional": "PBE-GGA", "state": "optimized geometry", "e_form_ev_per_atom": 1.48, "relative_energy_mev_per_atom": 0.0, "lattice_angstrom": [[4.750, 0.000, 0.000], [0.000, 4.750, 0.000], [0.000, 0.000, 4.750]], "species": ["Bi", "Tc", "Tc", "Tc", "Re"], "fractional_positions": [[0.500, 0.500, 0.500], [0.000, 0.000, 0.500], [0.500, 0.000, 0.000], [0.000, 0.500, 0.000], [0.000, 0.000, 0.000]]}

=====

{"formula": "ReTcBiTe2", "functional": "PBE-GGA", "state": "optimized geometry", "formation_energy_uncorrected_ev_per_atom": 1.515, "lattice_angstrom": [[-4.502, -0.178, -2.442], [2.520, -1.593, -4.531], [-0.569, -4.895, 1.405]], "species": ["Bi", "Te", "Tc", "Te", "Re"], "fractional_positions": [[0.000, 0.500, 0.000], [0.500, 0.000, 0.000], [0.000, 0.000, 0.000], [0.000, 0.000, 0.500], [0.500, 0.500, 0.500]]}

=====

{"formula": "ReTc2BiW", "functional": "PBE-GGA", "state": "optimized geometry", "e_form_ev_per_atom": 3.05, "lattice_angstrom": [[4.794, 0.000, 0.000], [0.000, 4.863, 0.000], [0.000, 0.000, 4.794]], "species": ["Tc", "Tc", "W", "Re", "Bi"], "fractional_positions": [[0.000, 0.000, 0.500], [0.500, 0.000, 0.000], [0.500, 0.500, 0.500], [0.000, 0.500, 0.000], [0.000, 0.000, 0.000]]}

=====

{"formula": "ReBiTe3", "functional": "PBE-GGA", "state": "optimized geometry", "relative_energy_mev_per_atom": 0.0, "formation_energy_uncorrected_ev_per_atom": 0.614, "lattice_angstrom": [[-1.431, -5.061, 0.187], [1.141, -0.133, 5.136], [-4.934, 1.437, 1.133]], "species": ["Bi", "Te", "Re", "Te", "Te"], "fractional_positions": [[0.500, 0.500, 0.500], [0.500, 0.000, 0.000], [0.000, 0.000, 0.000], [0.000, 0.500, 0.000], [0.000, 0.000, 0.500]]}

=====

{"formula": "Re2BiTe", "functional": "PBE-GGA", "state": "optimized geometry", "relative_energy_mev_per_atom": 0.0, "formation_energy_uncorrected_ev_per_atom": 1.020, "lattice_angstrom": [[0.000, 3.349, 3.349], [3.349, 0.000, 3.349], [3.349, 3.349, 0.000]], "species": ["Bi", "Te", "Re", "Re"], "fractional_positions": [[0.500, 0.500, 0.500], [0.000, 0.000, 0.000], [0.250, 0.250, 0.250], [0.750, 0.750, 0.750]]}

=====

{"formula": "Re2BiTe", "functional": "PBE-GGA", "state": "optimized geometry", "relative_energy_mev_per_atom": 546.2, "formation_energy_uncorrected_ev_per_atom": 1.567, "lattice_angstrom": [[6.161, 0.000, 0.000], [0.000, 6.161, 0.000], [3.080, 3.080, 5.933]], "species": ["Re", "Te", "Bi", "Te", "Re", "Re", "Re", "Bi"], "fractional_positions": [[0.608, 0.125, 0.250], [0.500, 0.500, 0.000], [0.000, 0.000, 0.000], [0.250, 0.750, 0.500], [0.142, 0.625, 0.250], [0.875, 0.858, 0.750], [0.375, 0.392, 0.750], [0.750, 0.250, 0.500]]}

=====

{"formula": "Re3BiTe", "functional": "PBE-GGA", "state": "optimized geometry", "relative_energy_mev_per_atom": 0.0, "formation_energy_uncorrected_ev_per_atom": 2.304, "lattice_angstrom": [[4.895, 0.000, 0.000], [0.000, 4.895, 0.000], [0.000, 0.000, 4.895]], "species": ["Re", "Re", "Bi", "Re", "Te"], "fractional_positions": [[0.000, 0.000, 0.500], [0.000, 0.500, 0.000], [0.500, 0.500, 0.500], [0.500, 0.000, 0.000], [0.000, 0.000, 0.000]]}

=====

{"formula": "ReBi3Te", "functional": "PBE-GGA", "state": "optimized geometry", "relative_energy_mev_per_atom": 0.0, "formation_energy_uncorrected_ev_per_atom": 0.596, "lattice_angstrom": [[5.351, 0.000, 0.000], [0.000, 5.351, 0.000], [0.000, 0.000, 5.351]], "species": ["Re", "Bi", "Bi", "Bi", "Te"], "fractional_positions": [[0.000, 0.000, 0.000], [0.500, 0.000, 0.000], [0.000, 0.000, 0.500], [0.000, 0.500, 0.000], [0.500, 0.500, 0.500]]}

=====

{"formula": "TlRe2BiTe", "functional": "PBE-GGA", "state": "optimized geometry", "formation_energy_uncorrected_ev_per_atom": 1.991, "lattice_angstrom": [[-4.914, 0.280, -0.793], [-0.984, -0.620, 5.878], [0.193, 4.951, 0.554]], "species": ["Re", "Te", "Re", "Tl", "Bi"], "fractional_positions": [[0.500, 0.000, 0.000], [0.000, 0.000, 0.000], [0.000, 0.000, 0.500], [0.500, 0.500, 0.500], [0.000, 0.500, 0.000]]}